(1)
The following is a PBE calculation of a relaxed structure of NiIr4Br, from Alexandria.

Total energy in eV/atom: -6.03

Unit cell a=5.223 b=5.223 c=5.223 alpha=60.00 beta=60.00 gamma=60.00
Fractional positions:
Ni  0.000  0.000  0.000
Ir  0.375  0.375  0.375
Ir  0.375  0.375  0.876
Ir  0.375  0.876  0.375
Ir  0.876  0.375  0.375
Br  0.750  0.750  0.750

(2)
The following is a PBE calculation of a relaxed structure of Ba2SnSbN, from Alexandria.

Total energy in eV/atom: -4.57

Unit cell a=5.748 b=5.748 c=4.602 alpha=90.00 beta=90.00 gamma=90.00
Fractional positions:
Ba  0.000  0.500  0.000
Ba  0.500  0.000  0.000
Sn  0.000  0.000  0.500
Sb  0.500  0.500  0.500
N  0.000  0.000  0.000

(3)
The following is a PBE calculation of a relaxed structure of Ga2BiS, from Alexandria.

Energy above the most stable polymorph in this dataset in meV/atom: 0.0

Unit cell a=7.621 b=7.621 c=7.621 alpha=132.63 beta=132.63 gamma=69.24
Fractional positions:
Ga  0.087  0.625  0.962
Ga  0.375  0.337  0.462
Ga  0.663  0.125  0.038
Ga  0.875  0.913  0.538
Bi  0.250  0.750  0.500
Bi  0.500  0.500  0.000
S  0.000  0.000  0.000
S  0.750  0.250  0.500

(4)
The following is a PBE calculation of a relaxed structure of LaSm2Tm, from Alexandria.

ΔE_f in eV/atom: 0.024
Energy above the most stable polymorph in this dataset in meV/atom: 0.7

Unit cell a=6.307 b=6.307 c=6.226 alpha=99.45 beta=99.45 gamma=33.44
Fractional positions:
La  0.000  0.000  0.000
Sm  0.248  0.248  0.748
Sm  0.752  0.752  0.252
Tm  0.500  0.500  0.500

Please write out number 1 again, unchanged.
The following is a PBE calculation of a relaxed structure of NiIr4Br, from Alexandria.

Total energy in eV/atom: -6.03

Unit cell a=5.223 b=5.223 c=5.223 alpha=60.00 beta=60.00 gamma=60.00
Fractional positions:
Ni  0.000  0.000  0.000
Ir  0.375  0.375  0.375
Ir  0.375  0.375  0.876
Ir  0.375  0.876  0.375
Ir  0.876  0.375  0.375
Br  0.750  0.750  0.750